Zn2CuMoI | PBE-GGA | optimized geometry

Properties
N(E_F): 5.23 states/eV per cell
Uncorrected formation energy: 5.4 eV/f.u.

Cell and atoms, written as CIF:
```
data_Zn2CuMoI
_chemical_formula_sum 'Zn2 Cu1 Mo1 I1'
_symmetry_space_group_name_H-M 'P 4/m m m'
_symmetry_Int_Tables_number 123
_symmetry_space_group_name_Hall '-P 4 2'
_cell_length_a 5.184
_cell_length_b 5.184
_cell_length_c 4.886
_cell_angle_alpha 90.00
_cell_angle_beta 90.00
_cell_angle_gamma 90.00
loop_
_atom_site_label
_atom_site_fract_x
_atom_site_fract_y
_atom_site_fract_z
_atom_site_occupancy
Zn1 0.000 0.500 0.000 1
Cu1 0.000 0.000 0.500 1
Mo1 0.000 0.000 0.000 1
I1 0.500 0.500 0.500 1
```

---

CdIn6I8 | PBE-GGA | optimized geometry

Properties
Uncorrected formation energy: -6.9 eV/f.u.

Cell and atoms, written as CIF:
```
data_CdIn6I8
_chemical_formula_sum 'Cd3 In18 I24'
_symmetry_space_group_name_H-M 'R -3'
_symmetry_Int_Tables_number 148
_symmetry_space_group_name_Hall '-R 3'
_cell_length_a 10.4745
_cell_length_b 10.4745
_cell_length_c 19.9466
_cell_angle_alpha 90.00
_cell_angle_beta 90.00
_cell_angle_gamma 120.00
loop_
_atom_site_label
_atom_site_fract_x
_atom_site_fract_y
_atom_site_fract_z
_atom_site_occupancy
Cd1 0.0000 0.0000 0.0000 1
In1 0.0239 0.6324 0.9305 1
I1 0.0000 0.0000 0.3338 1
I2 0.0049 0.7638 0.0870 1
```

---

PrDy5P6 | PBE-GGA | optimized geometry

Properties
N(E_F): 2.12 states/eV per cell

Cell and atoms, written as CIF:
```
data_PrDy5P6
_chemical_formula_sum 'Pr2 Dy10 P12'
_symmetry_space_group_name_H-M 'C 1 2/m 1'
_symmetry_Int_Tables_number 12
_symmetry_space_group_name_Hall '-C 2y'
_cell_length_a 7.003
_cell_length_b 12.124
_cell_length_c 7.000
_cell_angle_alpha 90.00
_cell_angle_beta 109.50
_cell_angle_gamma 90.00
loop_
_atom_site_label
_atom_site_fract_x
_atom_site_fract_y
_atom_site_fract_z
_atom_site_occupancy
Pr1 0.000 0.000 0.000 1
Dy1 0.000 0.165 0.500 1
Dy2 0.000 0.333 0.000 1
Dy3 0.000 0.500 0.500 1
P1 0.245 0.330 0.746 1
P2 0.245 0.500 0.253 1
```

---

TiSiPd | PBE-GGA | optimized geometry

Properties
N(E_F): 0.75 states/eV per cell
Uncorrected formation energy: -2.5 eV/f.u.

Cell and atoms, written as CIF:
```
data_TiSiPd
_chemical_formula_sum 'Ti4 Si4 Pd4'
_symmetry_space_group_name_H-M 'P n m a'
_symmetry_Int_Tables_number 62
_symmetry_space_group_name_Hall '-P 2ac 2n'
_cell_length_a 6.354
_cell_length_b 3.790
_cell_length_c 7.440
_cell_angle_alpha 90.00
_cell_angle_beta 90.00
_cell_angle_gamma 90.00
loop_
_atom_site_label
_atom_site_fract_x
_atom_site_fract_y
_atom_site_fract_z
_atom_site_occupancy
Ti1 0.030 0.250 0.177 1
Si1 0.246 0.750 0.374 1
Pd1 0.146 0.250 0.562 1
```

---

Taking the records one at a time from the top gives electronic total energy values of -13.58 -110.02 -158.64 -84.18 eV/cell.